# 1
# PBE PmHgPd3, optimized geometry
# **Energy of formation from the pure elements**: -47.7 kJ per mole of atoms
# **Density of states at the Fermi level**: 10.5 states/eV per cell
data_PmHgPd3
_space_group_name_H-M_alt 'I m m a'
_space_group_IT_number 74
_space_group_name_Hall '-I 2b 2'
_cell_length_a 5.528
_cell_length_b 7.815
_cell_length_c 9.409
_cell_angle_alpha 90.00
_cell_angle_beta 90.00
_cell_angle_gamma 90.00
loop_
_atom_site_label
_atom_site_type_symbol
_atom_site_fract_x
_atom_site_fract_y
_atom_site_fract_z
Pm1 Pm 0.000 0.250 0.007
Hg1 Hg 0.000 0.000 0.500
Pd1 Pd 0.000 0.250 0.705
Pd2 Pd 0.250 0.061 0.250

***

# 2
# PBE PmHgPd6, optimized geometry
# **Energy above the lowest structure with this stoichiometry**: 1.292 eV per formula unit
# **Energy of formation from the pure elements**: -26.7 kJ per mole of atoms
# **Density of states at the Fermi level**: 3.6 states/eV per cell
data_PmHgPd6
_space_group_name_H-M_alt 'P m -3'
_space_group_IT_number 200
_space_group_name_Hall '-P 2 2 3'
_cell_length_a 5.247
_cell_length_b 5.247
_cell_length_c 5.247
_cell_angle_alpha 90.00
_cell_angle_beta 90.00
_cell_angle_gamma 90.00
loop_
_atom_site_label
_atom_site_type_symbol
_atom_site_fract_x
_atom_site_fract_y
_atom_site_fract_z
Pm1 Pm 0.000 0.000 0.000
Hg1 Hg 0.500 0.500 0.500
Pd1 Pd 0.000 0.254 0.500

***

# 3
# PBE Pm8HgPd2, optimized geometry
# **Energy above the lowest structure with this stoichiometry**: 0.000 eV per formula unit
# **Energy of formation from the pure elements**: -34.6 kJ per mole of atoms
# **Density of states at the Fermi level**: 21.4 states/eV per cell
data_Pm8HgPd2
_space_group_name_H-M_alt 'C 1 2/m 1'
_space_group_IT_number 12
_cell_length_a 18.658
_cell_length_b 5.276
_cell_length_c 6.989
_cell_angle_alpha 90.00
_cell_angle_beta 109.01
_cell_angle_gamma 90.00
loop_
_space_group_symop_operation_xyz
'x,y,z'
'-x,-y,-z'
'-x,y,-z'
'x,-y,z'
'x+1/2,y+1/2,z'
'-x+1/2,-y+1/2,-z'
'-x+1/2,y+1/2,-z'
'x+1/2,-y+1/2,z'
loop_
_atom_site_label
_atom_site_type_symbol
_atom_site_fract_x
_atom_site_fract_y
_atom_site_fract_z
Pm1 Pm 0.029 0.000 0.277
Pm2 Pm 0.095 0.500 0.978
Pm3 Pm 0.177 0.500 0.504
Pm4 Pm 0.200 0.000 0.842
Hg1 Hg 0.000 0.500 0.500
Pd1 Pd 0.172 0.000 0.231

***

# 4
# PBE PmHg2Pd2, optimized geometry
# **Energy above the lowest structure with this stoichiometry**: 0.000 eV per formula unit
# **Energy of formation from the pure elements**: -47.3 kJ per mole of atoms
# **Density of states at the Fermi level**: 8.5 states/eV per cell
data_PmHg2Pd2
_space_group_name_H-M_alt 'R -3 m'
_space_group_IT_number 166
_space_group_name_Hall '-R 3 2"'
_cell_length_a 4.8851
_cell_length_b 4.8851
_cell_length_c 15.1437
_cell_angle_alpha 90.00
_cell_angle_beta 90.00
_cell_angle_gamma 120.00
loop_
_atom_site_label
_atom_site_type_symbol
_atom_site_fract_x
_atom_site_fract_y
_atom_site_fract_z
Pm1 Pm 0.0000 0.0000 0.0000
Hg1 Hg 0.0000 0.0000 0.2172
Pd1 Pd 0.0000 0.0000 0.4091

***

Which value of density of states at the Fermi level does entry 3 give? 21.4 states/eV per cell

***

Number 3 is which compound? Pm8HgPd2

***

Number 1 is which compound? PmHgPd3

***

Which formula does entry 2 have? PmHgPd6